This record from Alexandria via LeMat-Bulk describes a geometry-optimized ReSbO2F structure. The functional is GGA-PBEsol.

Properties
DOS(E_F) in states/eV/cell: 2.589
Raw total energy in eV per atom: -6.7868
Formation energy (no corrections) in kJ/mol of atoms: -70
ρ in Mg/m³: 6.865
SG: P4/mmm, No. 123

a = 3.692 Å, b = 3.692 Å, c = 6.369 Å
α = 90.00°, β = 90.00°, γ = 90.00°
Sites, in units of the cell vectors:
Re: 0.000 0.000 0.000
Sb: 0.500 0.500 0.500
O: 0.000 0.500 0.000
O: 0.500 0.000 0.000
F: 0.000 0.000 0.500